Al2CdRu | GGA-PBE | relaxed

Results
DFT total energy, eV per cell: -34.5
Energy relative to the elements, eV per atom: 0.110
Crystal system: orthorhombic
M_tot, μB per formula unit: 0.0

Cell: 3.229 4.719 8.930 Å, 90.00 90.00 90.00°
Space group Cmm2 (No. 35)
Inequivalent atoms, fractional coordinates:
Al 0.000 0.000 0.000
Al 0.000 0.500 0.252
Cd 0.000 0.000 0.536
Ru 0.000 0.500 0.796

***

Al4CdRu | GGA-PBE | relaxed

Results
DFT total energy, eV per cell: -98.9
Energy relative to the elements, eV per atom: 0.072
Crystal system: cubic
M_tot, μB per formula unit: 0.0

Cell: 7.283 7.283 7.283 Å, 90.00 90.00 90.00°
Space group F-43m (No. 216)
Inequivalent atoms, fractional coordinates:
Al 0.124 0.124 0.376
Cd 0.000 0.000 0.000
Ru 0.250 0.250 0.750

***

Among the records above, which one has the highest energy relative to the elements? Al2CdRu

***

Which value of DFT total energy does entry 1 give? -34.5 eV per cell

***

Copy entry 2 word for word.
Al4CdRu | GGA-PBE | relaxed

Results
DFT total energy, eV per cell: -98.9
Energy relative to the elements, eV per atom: 0.072
Crystal system: cubic
M_tot, μB per formula unit: 0.0

Cell: 7.283 7.283 7.283 Å, 90.00 90.00 90.00°
Space group F-43m (No. 216)
Inequivalent atoms, fractional coordinates:
Al 0.124 0.124 0.376
Cd 0.000 0.000 0.000
Ru 0.250 0.250 0.750